[1]
Density functional theory data (PBE-GGA) for a relaxed structure of ErMgZrTi.

Structure (extended XYZ):
```
4
Lattice="-2.308 -2.095 3.993 2.623 -0.958 4.226 -0.831 2.747 4.174" Properties=species:S:1:pos:R:3 pbc="T T T"
Er 0.000 0.000 0.000
Ti -0.129 -0.077 3.098
Mg -0.387 -0.230 9.295
Zr -0.258 -0.153 6.197
```

total energy: -22.01 eV per cell
E_form: 0.6 eV/f.u.

---

[2]
Density functional theory data (PBE-GGA) for a relaxed structure of Dy4Mg3Ag4.

Structure (extended XYZ):
```
11
Lattice="-2.217 -2.024 -1.459 4.891 0.279 -7.819 3.218 -5.991 7.243" Properties=species:S:1:pos:R:3 pbc="T T T"
Mg 5.048 -6.465 -2.517
Mg 0.844 -1.272 0.483
Mg 2.445 0.139 -3.910
Ag 0.950 -4.114 0.448
Ag 2.824 -0.788 -7.016
Ag 4.942 -3.623 -2.482
Ag -0.150 -0.958 -2.261
Dy 3.711 -3.040 -5.239
Dy 2.181 -4.697 3.205
Dy 3.985 -4.594 0.321
Dy 1.907 -3.142 -2.355
```

total energy: -35.65 eV per cell
E_form: -1.1 eV/f.u.

---

[3]
Density functional theory data (PBE-GGA) for a relaxed structure of BaSi2Ni.

Structure (extended XYZ):
```
4
Lattice="4.851 -0.044 0.000 0.000 4.851 0.000 -2.425 -2.403 3.446" Properties=species:S:1:pos:R:3 pbc="T T T"
Ni 2.426 -0.022 1.723
Si 0.000 2.426 1.723
Si 0.000 0.000 0.000
Ba 2.425 2.403 0.000
```

total energy: -16.74 eV per cell
raw formation energy: 452 meV per atom

---

[4]
Density functional theory data (PBE-GGA) for a relaxed structure of TcIr2Ru.

Structure (extended XYZ):
```
4
Lattice="-1.258 -1.477 2.682 -1.461 -2.259 -1.929 4.408 -3.139 0.338" Properties=species:S:1:pos:R:3 pbc="T T T"
Ir 2.195 -1.563 0.169
Ir 0.009 -0.006 0.001
Ru -0.257 -2.653 0.461
Tc 1.947 -4.222 0.630
```

total energy: -36.05 eV per cell
E_form: 1.3 eV/f.u.